# Cs2PuSbS5 | Alexandria via LeMat-Bulk | PBE | optimized geometry
# Uncorrected formation energy, meV/atom: -935
# Volume, Å³ per atom: 35.19
# Magnetization, μB/f.u.: 2.98
data_Cs2PuSbS5
_space_group_name_H-M_alt 'C m c 21'
_space_group_IT_number 36
_cell_length_a 4.304
_cell_length_b 19.098
_cell_length_c 15.412
_cell_angle_alpha 90.00
_cell_angle_beta 90.00
_cell_angle_gamma 90.00
loop_
_space_group_symop_operation_xyz
'x,y,z'
'-x,-y,z+1/2'
'-x,y,z'
'x,-y,z+1/2'
'x+1/2,y+1/2,z'
'-x+1/2,-y+1/2,z+1/2'
'-x+1/2,y+1/2,z'
'x+1/2,-y+1/2,z+1/2'
loop_
_atom_site_label
_atom_site_fract_x
_atom_site_fract_y
_atom_site_fract_z
Cs1 0.000 0.103 0.000
Cs2 0.000 0.144 0.645
Pu1 0.000 0.206 0.366
Sb1 0.000 0.451 0.777
S1 0.000 0.070 0.387
S2 0.000 0.284 0.970
S3 0.000 0.322 0.752
S4 0.000 0.332 0.330
S5 0.000 0.496 0.633

# Cs3Pu3ScS8 | Alexandria via LeMat-Bulk | PBE | optimized geometry
# Uncorrected formation energy, meV/atom: -1597
# Volume, Å³ per atom: 30.62
# Magnetization, μB/f.u.: 14.00
data_Cs3Pu3ScS8
_space_group_name_H-M_alt 'R -3 m'
_space_group_IT_number 166
_space_group_name_Hall '-R 3 2"'
_cell_length_a 8.0684
_cell_length_b 8.0684
_cell_length_c 24.4428
_cell_angle_alpha 90.00
_cell_angle_beta 90.00
_cell_angle_gamma 120.00
loop_
_atom_site_label
_atom_site_fract_x
_atom_site_fract_y
_atom_site_fract_z
Cs1 0.0000 0.5000 0.0000
Pu1 0.0000 0.5000 0.5000
Sc1 0.0000 0.0000 0.5000
S1 0.0000 0.0000 0.2260
S2 0.0110 0.5055 0.2239

# CsPuScS3 | Alexandria via LeMat-Bulk | PBE | optimized geometry
# Uncorrected formation energy, meV/atom: -1608
# Volume, Å³ per atom: 26.38
# Magnetization, μB/f.u.: 6.01
data_CsPuScS3
_space_group_name_H-M_alt 'P 1 21/m 1'
_space_group_IT_number 11
_cell_length_a 7.508
_cell_length_b 4.195
_cell_length_c 10.394
_cell_angle_alpha 90.00
_cell_angle_beta 104.76
_cell_angle_gamma 90.00
loop_
_space_group_symop_operation_xyz
'x,y,z'
'-x,-y,-z'
'-x,y+1/2,-z'
'x,-y+1/2,z'
loop_
_atom_site_label
_atom_site_fract_x
_atom_site_fract_y
_atom_site_fract_z
Cs1 0.143 0.250 0.177
Pu1 0.262 0.750 0.543
Sc1 0.380 0.250 0.845
S1 0.082 0.250 0.652
S2 0.313 0.750 0.961
S3 0.475 0.750 0.351

# Cs2Pu2ScS6 | Alexandria via LeMat-Bulk | PBE | optimized geometry
# Uncorrected formation energy, meV/atom: -1614
# Volume, Å³ per atom: 30.66
# Magnetization, μB/f.u.: 9.00
data_Cs2Pu2ScS6
_space_group_name_H-M_alt 'C 1 2/m 1'
_space_group_IT_number 12
_cell_length_a 6.903
_cell_length_b 11.913
_cell_length_c 8.516
_cell_angle_alpha 90.00
_cell_angle_beta 105.59
_cell_angle_gamma 90.00
loop_
_space_group_symop_operation_xyz
'x,y,z'
'-x,-y,-z'
'-x,y,-z'
'x,-y,z'
'x+1/2,y+1/2,z'
'-x+1/2,-y+1/2,-z'
'-x+1/2,y+1/2,-z'
'x+1/2,-y+1/2,z'
loop_
_atom_site_label
_atom_site_fract_x
_atom_site_fract_y
_atom_site_fract_z
Cs1 0.000 0.167 0.000
Pu1 0.000 0.334 0.500
Sc1 0.000 0.000 0.500
S1 0.219 0.162 0.673
S2 0.235 0.500 0.672

> Which formula does entry 4 have?

Cs2Pu2ScS6

> The highest volume belongs to which entry?

Cs2PuSbS5

> What is the uncorrected formation energy in the fourth record?

-1614 meV/atom